No. 1
Computed, not measured: a relaxed structure of Nd5Ni2Ir at the PBE-GGA level of DFT.

Structure (POSCAR):
```
Nd5Ni2Ir
1.0
-3.749 -5.020 3.670
-0.480 -4.039 -6.015
8.586 1.034 3.002
Ni Nd Ir
4 10 2
Cartesian
-2.373 -3.578 1.559 Ni
-3.603 -6.924 -0.479 Ni
-0.625 -2.135 -1.866 Ni
-1.856 -5.481 -3.903 Ni
-1.362 -6.472 1.607 Nd
5.719 -1.552 -0.949 Nd
3.451 -3.400 3.542 Nd
0.000 0.000 0.000 Nd
0.906 -4.624 -2.885 Nd
5.398 -0.285 2.608 Nd
3.773 -4.667 -0.015 Nd
-2.114 -4.529 -1.172 Nd
0.584 -3.357 0.673 Nd
-1.040 -7.739 -1.951 Nd
3.236 -1.747 0.915 Ir
1.121 -6.277 -0.257 Ir
```

Calculated values
- uncorrected energy (eV per atom) = -5.87
- total magnetic moment (μB/cell) = 0.000
- calculated volume (Å³/cell) = 400
- space group = I4/mcm
- energy of formation from the pure elements (meV/atom) = -333

***

No. 2
Computed, not measured: a relaxed structure of Nd2Ni15Ir2 at the PBE-GGA level of DFT.

Structure (POSCAR):
```
Nd2Ni15Ir2
1.0
-4.205 0.166 4.791
0.827 -5.987 2.034
4.134 1.282 4.684
Nd Ni Ir
2 15 2
Cartesian
0.496 -2.977 7.548 Nd
0.260 -1.562 3.961 Nd
0.414 -2.994 1.017 Ni
-0.644 -4.188 2.840 Ni
3.167 -0.843 3.909 Ni
-1.576 -3.622 5.205 Ni
1.794 -3.862 2.809 Ni
0.675 -4.562 4.976 Ni
2.604 -3.062 5.151 Ni
-1.767 0.492 4.760 Ni
-2.734 -1.633 3.985 Ni
-1.849 -1.477 6.358 Ni
0.081 0.023 6.533 Ni
2.332 -0.918 6.305 Ni
2.067 0.641 2.342 Ni
1.695 0.956 4.715 Ni
-2.103 0.083 2.396 Ni
0.077 -0.462 1.172 Ir
0.679 -4.077 10.338 Ir
```

Calculated values
- uncorrected energy (eV per atom) = -6.16
- total magnetic moment (μB/cell) = 8.055
- calculated volume (Å³/cell) = 253
- space group = R-3m
- energy of formation from the pure elements (meV/atom) = -161

***

No. 3
Computed, not measured: a relaxed structure of Nd2NiIr2 at the PBE-GGA level of DFT.

Structure (POSCAR):
```
Nd2NiIr2
1.0
-2.008 4.741 -2.045
-5.390 0.409 -1.214
-2.989 3.594 6.566
Nd Ir Ni
4 4 2
Cartesian
-4.982 3.576 3.262 Nd
-5.405 5.167 0.045 Nd
-2.597 2.920 -0.240 Nd
-7.790 5.824 3.547 Nd
-6.041 5.062 -2.889 Ir
-4.346 3.682 6.196 Ir
-1.998 2.979 2.704 Ir
-8.389 5.765 0.603 Ir
-5.676 1.898 0.314 Ni
-4.711 6.845 2.993 Ni
```

Calculated values
- uncorrected energy (eV per atom) = -7.12
- total magnetic moment (μB/cell) = 0.000
- calculated volume (Å³/cell) = 208
- space group = C2/c
- energy of formation from the pure elements (meV/atom) = -508